Entry 1:
! NpReP2 (PBE, relaxed); values from VASP
&SYSTEM
  ibrav = 0, nat = 4, ntyp = 3
/
ATOMIC_SPECIES
Np 237.00 Np.upf
Re 186.21 Re.upf
P 30.97 P.upf
ATOMIC_POSITIONS angstrom
Np 0.000 0.000 0.000
Re 0.000 0.000 13.749
P 0.000 0.000 2.839
P 0.000 0.000 24.658
CELL_PARAMETERS angstrom
1.475 0.852 9.166
-1.475 0.852 9.166
0.000 -1.703 9.166
! - Theoretical density: 11.66 Mg/m³
! - Electronic total energy: -9.068 eV/atom
! - Energy above the most stable polymorph in this dataset: 363 meV per atom

---

Entry 2:
! Li4Br3F (PBE, relaxed); values from VASP
&SYSTEM
  ibrav = 0, nat = 8, ntyp = 3
/
ATOMIC_SPECIES
Li 6.94 Li.upf
Br 79.90 Br.upf
F 19.00 F.upf
ATOMIC_POSITIONS angstrom
Li 0.000 1.728 0.000
Li 1.376 4.281 -1.441
Li 1.621 0.000 1.826
Li 0.000 6.833 0.000
Br 2.998 1.966 0.780
Br 0.000 4.281 0.677
Br 0.000 2.315 4.048
F 0.000 0.000 0.878
CELL_PARAMETERS angstrom
-2.998 4.281 3.268
2.998 -4.281 3.268
2.998 4.281 -3.268
! - Formation energy (no corrections): -41.611 kcal/mol of atoms
! - Theoretical density: 2.84 Mg/m³
! - Electronic total energy: -3.623 eV/atom
! - Energy above the most stable polymorph in this dataset: 58 meV per atom

---

Entry 3:
! Tb2LuIn (PBE, relaxed); values from VASP
&SYSTEM
  ibrav = 0, nat = 4, ntyp = 3
/
ATOMIC_SPECIES
Tb 158.93 Tb.upf
Lu 174.97 Lu.upf
In 114.82 In.upf
ATOMIC_POSITIONS angstrom
Tb 0.000 2.411 0.000
Tb 2.411 0.000 0.000
Lu 0.000 0.000 2.416
In 2.411 2.411 2.416
CELL_PARAMETERS angstrom
4.822 0.000 0.000
0.000 4.822 0.000
0.000 0.000 4.832
! - Theoretical density: 8.98 Mg/m³
! - Electronic total energy: -4.392 eV/atom
! - Energy above the most stable polymorph in this dataset: 0 meV per atom

---

Entry 4:
! Er2Al3Ga4 (PBE, relaxed); values from VASP
&SYSTEM
  ibrav = 0, nat = 18, ntyp = 3
/
ATOMIC_SPECIES
Er 167.26 Er.upf
Al 26.98 Al.upf
Ga 69.72 Ga.upf
ATOMIC_POSITIONS angstrom
Er 2.887 5.910 7.119
Er 2.887 1.708 3.221
Er 2.887 -1.708 4.573
Er 2.887 -5.910 0.676
Al 0.000 0.000 3.897
Al 1.443 3.354 5.846
Al 1.443 -3.354 1.949
Al 2.887 0.000 0.000
Al 4.330 3.354 5.846
Al 4.330 -3.354 1.949
Ga 2.887 4.872 4.199
Ga 1.443 0.787 5.846
Ga 1.443 -0.787 1.949
Ga 2.887 2.747 0.302
Ga 2.887 -2.747 7.493
Ga 4.330 0.787 5.846
Ga 4.330 -0.787 1.949
Ga 2.887 -4.872 3.596
CELL_PARAMETERS angstrom
2.887 -7.619 0.000
2.887 7.619 0.000
0.000 0.000 7.795
! - Theoretical density: 6.73 Mg/m³
! - Electronic total energy: -4.024 eV/atom

---

Entry 5:
! Ca3SiPd2 (PBE, relaxed); values from VASP
&SYSTEM
  ibrav = 0, nat = 6, ntyp = 3
/
ATOMIC_SPECIES
Ca 40.08 Ca.upf
Si 28.09 Si.upf
Pd 106.42 Pd.upf
ATOMIC_POSITIONS angstrom
Ca 0.000 0.000 0.000
Ca 1.986 4.635 2.733
Ca 3.969 2.315 4.866
Si 1.992 2.320 0.000
Pd 1.977 4.632 5.884
Pd 3.977 2.318 1.715
CELL_PARAMETERS angstrom
3.984 0.000 0.000
0.000 4.641 0.000
1.970 2.309 7.599
! - Formation energy (no corrections): -12.341 kcal/mol of atoms
! - Theoretical density: 4.27 Mg/m³
! - Electronic total energy: -4.171 eV/atom

---

Entry 6:
! AgBi2I (PBE, relaxed); values from VASP
&SYSTEM
  ibrav = 0, nat = 4, ntyp = 3
/
ATOMIC_SPECIES
Ag 107.87 Ag.upf
Bi 208.98 Bi.upf
I 126.90 I.upf
ATOMIC_POSITIONS angstrom
Ag 0.000 0.000 0.000
Bi 0.000 0.000 9.572
Bi 0.000 0.000 15.793
I 0.000 0.000 12.682
CELL_PARAMETERS angstrom
2.357 1.361 8.455
-2.357 1.361 8.455
0.000 -2.721 8.455
! - Formation energy (no corrections): 0.461 kcal/mol of atoms
! - Theoretical density: 6.66 Mg/m³
! - Electronic total energy: -3.021 eV/atom
! - Energy above the most stable polymorph in this dataset: 0 meV per atom

---

Entry 7:
! Sr2PdF8 (PBE, relaxed); values from VASP
&SYSTEM
  ibrav = 0, nat = 11, ntyp = 3
/
ATOMIC_SPECIES
Sr 87.62 Sr.upf
Pd 106.42 Pd.upf
F 19.00 F.upf
ATOMIC_POSITIONS angstrom
Sr 2.225 0.000 0.801
Sr 11.171 0.000 4.022
Pd 6.698 0.000 2.411
F -0.426 0.000 1.298
F 2.246 0.000 3.555
F 4.825 0.000 3.017
F 5.741 0.000 0.692
F 7.656 0.000 4.131
F 8.572 0.000 1.806
F 11.151 0.000 1.268
F 13.823 0.000 3.525
CELL_PARAMETERS angstrom
7.545 -2.065 0.000
7.545 2.065 0.000
-1.694 0.000 4.823
! - Formation energy (no corrections): -59.521 kcal/mol of atoms
! - Theoretical density: 4.79 Mg/m³
! - Electronic total energy: -4.720 eV/atom